1.
{
  "formula": "Mn4Nb3Al",
  "functional": "PBE-GGA",
  "state": "optimized geometry",
  "sg": "P4/mmm, No. 123",
  "formation_energy_mev_per_atom": -129.5,
  "e_tot_ev_per_fu": -71.7,
  "lattice_angstrom": [[3.0725, 0.0000, 0.0000], [0.0000, 3.0725, 0.0000], [0.0000, 0.0000, 11.9177]],
  "species": ["Mn", "Mn", "Mn", "Mn", "Nb", "Nb", "Nb", "Al"],
  "frac_coords": [[0.0000, 0.0000, 0.1186], [0.0000, 0.0000, 0.3721], [0.0000, 0.0000, 0.6279], [0.0000, 0.0000, 0.8814], [0.5000, 0.5000, 0.2407], [0.5000, 0.5000, 0.5000], [0.5000, 0.5000, 0.7593], [0.5000, 0.5000, 0.0000]]
}

=====

2.
{
  "formula": "Mn2NbAl",
  "functional": "PBE-GGA",
  "state": "optimized geometry",
  "sg": "P4/mmm, No. 123",
  "formation_energy_mev_per_atom": -213.2,
  "e_tot_ev_per_fu": -33.0,
  "lattice_angstrom": [[4.1612, 0.0000, 0.0000], [0.0000, 4.1612, 0.0000], [0.0000, 0.0000, 3.1703]],
  "species": ["Mn", "Mn", "Nb", "Al"],
  "frac_coords": [[0.0000, 0.5000, 0.0000], [0.5000, 0.0000, 0.0000], [0.0000, 0.0000, 0.5000], [0.5000, 0.5000, 0.5000]]
}

=====

3.
{
  "formula": "MnNbAl2",
  "functional": "PBE-GGA",
  "state": "optimized geometry",
  "sg": "R-3m, No. 166",
  "formation_energy_mev_per_atom": -57.3,
  "e_tot_ev_per_fu": -27.0,
  "lattice_angstrom": [[1.4270, 0.8239, 8.9649], [-1.4270, 0.8239, 8.9649], [0.0000, -1.6477, 8.9649]],
  "species": ["Mn", "Nb", "Al", "Al"],
  "frac_coords": [[0.0000, 0.0000, 0.0000], [0.5000, 0.5000, 0.5000], [0.2561, 0.2561, 0.2561], [0.7439, 0.7439, 0.7439]]
}

=====

4.
{
  "formula": "MnNbAl3",
  "functional": "PBE-GGA",
  "state": "optimized geometry",
  "sg": "Pm-3m, No. 221",
  "formation_energy_mev_per_atom": 444.6,
  "polymorph_energy_mev_per_atom": 0,
  "e_tot_ev_per_fu": -28.2,
  "lattice_angstrom": [[4.4106, 0.0000, 0.0000], [0.0000, 4.4106, 0.0000], [0.0000, 0.0000, 4.4106]],
  "species": ["Mn", "Nb", "Al", "Al", "Al"],
  "frac_coords": [[0.0000, 0.0000, 0.0000], [0.5000, 0.5000, 0.5000], [0.0000, 0.0000, 0.5000], [0.0000, 0.5000, 0.0000], [0.5000, 0.0000, 0.0000]]
}

=====

5.
{
  "formula": "Mn3NbAl",
  "functional": "PBE-GGA",
  "state": "optimized geometry",
  "sg": "Pm-3m, No. 221",
  "formation_energy_mev_per_atom": 1302.7,
  "polymorph_energy_mev_per_atom": 296,
  "e_tot_ev_per_fu": -34.8,
  "lattice_angstrom": [[4.6385, 0.0000, 0.0000], [0.0000, 4.6385, 0.0000], [0.0000, 0.0000, 4.6385]],
  "species": ["Mn", "Mn", "Mn", "Nb", "Al"],
  "frac_coords": [[0.0000, 0.0000, 0.5000], [0.0000, 0.5000, 0.0000], [0.5000, 0.0000, 0.0000], [0.0000, 0.0000, 0.0000], [0.5000, 0.5000, 0.5000]]
}

=====

6.
{
  "formula": "MnNbAl2",
  "functional": "PBE-GGA",
  "state": "optimized geometry",
  "sg": "P4/mmm, No. 123",
  "formation_energy_mev_per_atom": -271.7,
  "e_tot_ev_per_fu": -27.8,
  "lattice_angstrom": [[2.8246, 0.0000, 0.0000], [0.0000, 2.8246, 0.0000], [0.0000, 0.0000, 7.5565]],
  "species": ["Mn", "Nb", "Al", "Al"],
  "frac_coords": [[0.0000, 0.0000, 0.0000], [0.0000, 0.0000, 0.5000], [0.5000, 0.5000, 0.2230], [0.5000, 0.5000, 0.7770]]
}